No. 1
First-principles (PBE-GGA) data for a relaxed structure of MgCd2Pd8, as listed in Alexandria.

Output
For the magnetic moment, the calculation gives 0.00 μB/atom. Its electronic total energy is -4.26 eV per atom. Its energy relative to the elements is -170 meV per atom.

Geometry as POSCAR:
```
MgCd2Pd8
1.0
3.621 -6.452 0.000
3.621 6.452 0.000
-2.637 0.000 4.061
Mg Cd Pd
1 2 8
Direct
0.000 0.000 0.000
0.306 0.694 0.500
0.694 0.306 0.500
0.104 0.329 0.647
0.204 0.796 0.000
0.329 0.104 0.647
0.412 0.412 0.189
0.588 0.588 0.811
0.671 0.896 0.353
0.796 0.204 0.000
0.896 0.671 0.353
```



No. 2
First-principles (PBE-GGA) data for a relaxed structure of ZrRe2Ag2, as listed in Alexandria.

Output
For the magnetic moment, the calculation gives 0.00 μB/atom. Its electronic total energy is -7.18 eV per atom. Its energy relative to the elements is 649 meV per atom.

Geometry as POSCAR:
```
ZrRe2Ag2
1.0
7.919 0.000 0.000
0.000 7.919 0.000
0.000 0.000 2.871
Zr Re Ag
2 4 4
Direct
0.000 0.000 0.000
0.500 0.500 0.000
0.107 0.393 0.000
0.393 0.893 0.000
0.607 0.107 0.000
0.893 0.607 0.000
0.187 0.687 0.500
0.313 0.187 0.500
0.687 0.813 0.500
0.813 0.313 0.500
```



No. 3
First-principles (PBE-GGA) data for a relaxed structure of Be3HRu, as listed in Alexandria.

Output
For the magnetic moment, the calculation gives 0.03 μB/atom. Its electronic total energy is -3.48 eV per atom.

Geometry as POSCAR:
```
Be3HRu
1.0
4.179 0.000 0.000
0.000 4.179 0.000
0.000 0.000 4.179
Be H Ru
3 1 1
Direct
0.000 0.000 0.500
0.000 0.500 0.000
0.500 0.000 0.000
0.500 0.500 0.500
0.000 0.000 0.000
```



No. 4
First-principles (PBE-GGA) data for a relaxed structure of SmHo6Tm12, as listed in Alexandria.

Output
For the magnetic moment, the calculation gives 0.00 μB/atom. Its electronic total energy is -4.35 eV per atom. Its energy relative to the elements is 164 meV per atom.

Geometry as POSCAR:
```
SmHo6Tm12
1.0
5.866 3.387 5.012
-5.866 3.387 5.012
0.000 -6.774 5.012
Sm Ho Tm
1 6 12
Direct
0.000 0.000 0.000
0.090 0.684 0.255
0.255 0.090 0.684
0.316 0.745 0.910
0.684 0.255 0.090
0.745 0.910 0.316
0.910 0.316 0.745
0.007 0.216 0.353
0.216 0.353 0.007
0.229 0.454 0.563
0.353 0.007 0.216
0.437 0.771 0.546
0.454 0.563 0.229
0.546 0.437 0.771
0.563 0.229 0.454
0.647 0.993 0.784
0.771 0.546 0.437
0.784 0.647 0.993
0.993 0.784 0.647
```



No. 5
First-principles (PBE-GGA) data for a relaxed structure of Na2GaTe, as listed in Alexandria.

Output
For the magnetic moment, the calculation gives 0.03 μB/atom. The formation energy (no corrections) is -23 kJ per mole of atoms. Its electronic total energy is -2.44 eV per atom.

Geometry as POSCAR:
```
Na2GaTe
1.0
-2.429 2.429 10.202
2.429 -2.429 10.202
2.429 2.429 -10.202
Na Ga Te
4 2 2
Direct
0.123 0.625 0.998
0.375 0.373 0.498
0.627 0.125 0.002
0.875 0.877 0.502
0.250 0.750 0.500
0.500 0.500 0.000
0.000 0.000 0.000
0.750 0.250 0.500
```



No. 6
First-principles (PBE-GGA) data for a relaxed structure of LiIrSe, as listed in Alexandria.

Output
For the magnetic moment, the calculation gives 0.00 μB/atom. The formation energy (no corrections) is -9 kJ per mole of atoms. Its electronic total energy is -4.84 eV per atom.

Geometry as POSCAR:
```
LiIrSe
1.0
0.000 2.912 2.912
2.912 0.000 2.912
2.912 2.912 0.000
Li Ir Se
1 1 1
Direct
0.000 0.000 0.000
0.500 0.500 0.500
0.750 0.750 0.750
```



No. 7
First-principles (PBE-GGA) data for a relaxed structure of Zr5Ga2H2, as listed in Alexandria.

Output
For the magnetic moment, the calculation gives 0.00 μB/atom. Its electronic total energy is -6.54 eV per atom.

Geometry as POSCAR:
```
Zr5Ga2H2
1.0
-9.718 2.829 2.830
9.718 -2.829 2.830
9.718 2.829 -2.830
Zr Ga H
10 4 4
Direct
0.220 0.004 0.717
0.250 0.001 0.251
0.250 0.499 0.749
0.287 0.504 0.283
0.750 0.099 0.341
0.750 0.501 0.251
0.750 0.908 0.151
0.750 0.999 0.749
0.758 0.408 0.659
0.758 0.599 0.849
0.249 0.360 0.105
0.249 0.644 0.389
0.255 0.144 0.895
0.255 0.860 0.611
0.002 0.135 0.367
0.749 0.249 0.500
0.749 0.749 0.000
0.768 0.635 0.633
```



No. 8
First-principles (PBE-GGA) data for a relaxed structure of Fe2SbSe, as listed in Alexandria.

Output
For the magnetic moment, the calculation gives 1.32 μB/atom. The formation energy (no corrections) is 43 kJ per mole of atoms. Its electronic total energy is -5.69 eV per atom.

Geometry as POSCAR:
```
Fe2SbSe
1.0
-1.857 1.857 5.023
1.857 -1.857 5.023
1.857 1.857 -5.023
Fe Sb Se
2 1 1
Direct
0.000 0.000 0.000
0.750 0.250 0.500
0.250 0.750 0.500
0.500 0.500 0.000
```



No. 9
First-principles (PBE-GGA) data for a relaxed structure of Fe2Se2Br, as listed in Alexandria.

Output
For the magnetic moment, the calculation gives 0.00 μB/atom. The formation energy (no corrections) is 40 kJ per mole of atoms. Its electronic total energy is -4.70 eV per atom.

Geometry as POSCAR:
```
Fe2Se2Br
1.0
-2.032 2.032 5.939
2.032 -2.032 5.939
2.032 2.032 -5.939
Fe Se Br
2 2 1
Direct
0.149 0.149 0.000
0.851 0.851 0.000
0.250 0.750 0.500
0.750 0.250 0.500
0.500 0.500 0.000
```



No. 10
First-principles (PBE-GGA) data for a relaxed structure of La3CdIr, as listed in Alexandria.

Output
For the magnetic moment, the calculation gives 0.00 μB/atom. Its electronic total energy is -5.17 eV per atom. Its energy relative to the elements is -254 meV per atom.

Geometry as POSCAR:
```
La3CdIr
1.0
0.000 7.320 7.320
7.320 0.000 7.320
7.320 7.320 0.000
La Cd Ir
12 4 4
Direct
0.082 0.082 0.668
0.082 0.668 0.082
0.082 0.668 0.668
0.332 0.332 0.918
0.332 0.918 0.332
0.332 0.918 0.918
0.668 0.082 0.082
0.668 0.082 0.668
0.668 0.668 0.082
0.918 0.332 0.332
0.918 0.332 0.918
0.918 0.918 0.332
0.000 0.500 0.500
0.500 0.000 0.500
0.500 0.500 0.000
0.500 0.500 0.500
0.000 0.000 0.000
0.000 0.000 0.500
0.000 0.500 0.000
0.500 0.000 0.000
```



No. 11
First-principles (PBE-GGA) data for a relaxed structure of LiMg3Ag2, as listed in Alexandria.

Output
For the magnetic moment, the calculation gives 0.00 μB/atom. Its electronic total energy is -2.26 eV per atom. Its energy relative to the elements is -195 meV per atom.

Geometry as POSCAR:
```
LiMg3Ag2
1.0
2.297 -6.886 0.000
2.297 6.886 0.000
0.000 0.000 3.540
Li Mg Ag
1 3 2
Direct
0.000 0.000 0.000
0.169 0.831 0.500
0.500 0.500 0.500
0.831 0.169 0.500
0.336 0.664 0.000
0.664 0.336 0.000
```



No. 12
First-principles (PBE-GGA) data for a relaxed structure of ZrPtS2, as listed in Alexandria.

Output
For the magnetic moment, the calculation gives 0.00 μB/atom. The formation energy (no corrections) is -59 kJ per mole of atoms. Its electronic total energy is -6.32 eV per atom.

Geometry as POSCAR:
```
ZrPtS2
1.0
0.000 3.199 3.199
3.199 0.000 3.199
3.199 3.199 0.000
Zr Pt S
1 1 2
Direct
0.000 0.000 0.000
0.500 0.500 0.500
0.250 0.250 0.250
0.750 0.750 0.750
```



No. 13
First-principles (PBE-GGA) data for a relaxed structure of Hf4IrRh2, as listed in Alexandria.

Output
For the magnetic moment, the calculation gives 0.00 μB/atom. Its electronic total energy is -9.78 eV per atom. Its energy relative to the elements is -722 meV per atom.

Geometry as POSCAR:
```
Hf4IrRh2
1.0
2.285 1.319 7.458
-2.285 1.319 7.458
0.000 -2.638 7.458
Hf Ir Rh
4 1 2
Direct
0.122 0.122 0.122
0.372 0.372 0.372
0.628 0.628 0.628
0.878 0.878 0.878
0.500 0.500 0.500
0.250 0.250 0.250
0.750 0.750 0.750
```



No. 14
First-principles (PBE-GGA) data for a relaxed structure of SmYTiIn, as listed in Alexandria.

Output
For the magnetic moment, the calculation gives 0.66 μB/atom. Its electronic total energy is -5.55 eV per atom. Its energy relative to the elements is -91 meV per atom.

Geometry as POSCAR:
```
SmYTiIn
1.0
0.000 3.753 3.753
3.753 0.000 3.753
3.753 3.753 0.000
Sm Y Ti In
1 1 1 1
Direct
0.000 0.000 0.000
0.500 0.500 0.500
0.750 0.750 0.750
0.250 0.250 0.250
```



No. 15
First-principles (PBE-GGA) data for a relaxed structure of TlCuF3, as listed in Alexandria.

Output
For the magnetic moment, the calculation gives 0.18 μB/atom. The formation energy (no corrections) is -149 kJ per mole of atoms. Its electronic total energy is -3.96 eV per atom.

Geometry as POSCAR:
```
TlCuF3
1.0
7.793 -1.539 0.000
7.793 1.539 0.000
-0.180 0.000 7.361
Tl Cu F
2 2 6
Direct
0.143 0.143 0.378
0.857 0.857 0.622
0.400 0.400 0.154
0.600 0.600 0.846
0.042 0.042 0.721
0.137 0.137 0.998
0.304 0.304 0.363
0.696 0.696 0.637
0.863 0.863 0.002
0.958 0.958 0.279
```



No. 16
First-principles (PBE-GGA) data for a relaxed structure of Ac12CePb7, as listed in Alexandria.

Output
For the magnetic moment, the calculation gives 0.07 μB/atom. Its electronic total energy is -4.31 eV per atom. Its energy relative to the elements is -253 meV per atom.

Geometry as POSCAR:
```
Ac12CePb7
1.0
8.505 4.911 3.225
-8.505 4.911 3.225
0.000 -9.821 3.225
Ac Ce Pb
12 1 7
Direct
0.000 0.271 0.729
0.000 0.729 0.271
0.166 0.489 0.489
0.271 0.000 0.729
0.271 0.729 0.000
0.489 0.166 0.489
0.489 0.489 0.166
0.511 0.511 0.834
0.511 0.834 0.511
0.729 0.000 0.271
0.729 0.271 0.000
0.834 0.511 0.511
0.000 0.000 0.000
0.135 0.135 0.445
0.135 0.445 0.135
0.445 0.135 0.135
0.500 0.500 0.500
0.555 0.865 0.865
0.865 0.555 0.865
0.865 0.865 0.555
```



No. 17
First-principles (PBE-GGA) data for a relaxed structure of Ac4DyPa3N8, as listed in Alexandria.

Output
For the magnetic moment, the calculation gives 0.00 μB/atom. The formation energy (no corrections) is -138 kJ per mole of atoms. Its electronic total energy is -8.69 eV per atom.

Geometry as POSCAR:
```
Ac4DyPa3N8
1.0
3.621 2.091 6.210
-3.621 2.091 6.210
0.000 -4.181 6.210
Ac Dy Pa N
4 1 3 8
Direct
0.000 0.000 0.000
0.000 0.500 0.500
0.500 0.000 0.500
0.500 0.500 0.000
0.500 0.500 0.500
0.000 0.000 0.500
0.000 0.500 0.000
0.500 0.000 0.000
0.217 0.737 0.737
0.229 0.229 0.229
0.263 0.263 0.783
0.263 0.783 0.263
0.737 0.217 0.737
0.737 0.737 0.217
0.771 0.771 0.771
0.783 0.263 0.263
```



No. 18
First-principles (PBE-GGA) data for a relaxed structure of NdSmI4, as listed in Alexandria.

Output
For the magnetic moment, the calculation gives 0.00 μB/atom. The formation energy (no corrections) is -115 kJ per mole of atoms. Its electronic total energy is -3.81 eV per atom.

Geometry as POSCAR:
```
NdSmI4
1.0
-3.123 3.123 6.048
3.123 -3.123 6.048
3.123 3.123 -6.048
Nd Sm I
1 1 4
Direct
0.000 0.000 0.000
0.250 0.750 0.500
0.266 0.266 0.000
0.513 0.013 0.500
0.734 0.734 0.000
0.987 0.487 0.500
```



No. 19
First-principles (PBE-GGA) data for a relaxed structure of Pr2BePt6, as listed in Alexandria.

Output
For the magnetic moment, the calculation gives 0.00 μB/atom. Its electronic total energy is -6.42 eV per atom. Its energy relative to the elements is -917 meV per atom.

Geometry as POSCAR:
```
Pr2BePt6
1.0
5.171 -3.034 0.000
5.171 3.034 0.000
-3.289 0.000 5.142
Pr Be Pt
2 1 6
Direct
0.249 0.249 0.234
0.751 0.751 0.766
0.500 0.500 0.000
0.232 0.755 0.729
0.238 0.238 0.724
0.245 0.768 0.271
0.755 0.232 0.729
0.762 0.762 0.276
0.768 0.245 0.271
```



No. 20
First-principles (PBE-GGA) data for a relaxed structure of PrEuNi, as listed in Alexandria.

Output
For the magnetic moment, the calculation gives 2.44 μB/atom. Its electronic total energy is -6.97 eV per atom. Its energy relative to the elements is -26 meV per atom.

Geometry as POSCAR:
```
PrEuNi
1.0
0.000 3.487 3.487
3.487 0.000 3.487
3.487 3.487 0.000
Pr Eu Ni
1 1 1
Direct
0.000 0.000 0.000
0.500 0.500 0.500
0.250 0.250 0.250
```



No. 21
First-principles (PBE-GGA) data for a relaxed structure of Mg3Al2Ag3, as listed in Alexandria.

Output
For the magnetic moment, the calculation gives 0.00 μB/atom. Its electronic total energy is -2.73 eV per atom. Its energy relative to the elements is -132 meV per atom.

Geometry as POSCAR:
```
Mg3Al2Ag3
1.0
-1.680 2.327 9.326
1.680 -2.327 9.326
1.680 2.327 -9.326
Mg Al Ag
3 2 3
Direct
0.000 0.000 0.000
0.376 0.876 0.500
0.624 0.124 0.500
0.243 0.243 0.000
0.757 0.757 0.000
0.127 0.627 0.500
0.500 0.500 0.000
0.873 0.373 0.500
```



No. 22
First-principles (PBE-GGA) data for a relaxed structure of BeSi2Ir, as listed in Alexandria.

Output
For the magnetic moment, the calculation gives 0.00 μB/atom. The formation energy (no corrections) is 11 kJ per mole of atoms. Its electronic total energy is -5.74 eV per atom.

Geometry as POSCAR:
```
BeSi2Ir
1.0
2.967 0.000 0.000
0.000 4.042 0.000
0.000 0.000 4.227
Be Si Ir
1 2 1
Direct
0.000 0.000 0.000
0.000 0.500 0.500
0.500 0.000 0.500
0.500 0.500 0.000
```



No. 23
First-principles (PBE-GGA) data for a relaxed structure of ZrRh2, as listed in Alexandria.

Output
For the magnetic moment, the calculation gives 0.00 μB/atom. Its electronic total energy is -8.16 eV per atom. Its energy relative to the elements is -408 meV per atom.

Geometry as POSCAR:
```
ZrRh2
1.0
6.651 0.000 0.000
-3.326 5.760 0.000
0.000 0.000 4.104
Zr Rh
3 6
Direct
0.000 0.000 0.000
0.333 0.667 0.500
0.667 0.333 0.500
0.000 0.247 0.500
0.000 0.576 0.000
0.247 0.000 0.500
0.424 0.424 0.000
0.576 0.000 0.000
0.753 0.753 0.500
```